1.
Here is a relaxed Zr2BeSb crystal from Alexandria. Energies are from PBEsol.

Geometry as POSCAR:
```
Zr2BeSb
1.0
3.784 0.000 0.000
0.000 1.913 5.195
0.000 -1.913 5.195
Zr Be Sb
2 1 1
direct
0.000 0.000 0.000
0.500 0.312 0.312
0.000 0.748 0.748
0.500 0.596 0.596
```

Energy above the most stable polymorph in this dataset   0.00 eV per formula unit
Energy relative to the elements, uncorrected   -0.5129 eV/atom
Total DFT energy (no corrections)   -7.197 eV per atom

2.
Here is a relaxed Gd2AgRu crystal from Alexandria. Energies are from PBEsol.

Geometry as POSCAR:
```
Gd2AgRu
1.0
0.000 3.474 3.474
3.474 0.000 3.474
3.474 3.474 0.000
Gd Ag Ru
2 1 1
direct
0.250 0.250 0.250
0.750 0.750 0.750
0.000 0.000 0.000
0.500 0.500 0.500
```

DFT formation energy   -6.215 kcal/mol of atoms
Total DFT energy (no corrections)   -10.865 eV per atom

3.
Here is a relaxed MgPWS2 crystal from Alexandria. Energies are from PBEsol.

Geometry as POSCAR:
```
MgPWS2
1.0
4.538 0.000 0.000
0.000 4.538 0.000
0.000 0.000 4.616
Mg P W S
1 1 1 2
direct
0.000 0.000 0.000
0.000 0.000 0.500
0.500 0.500 0.500
0.000 0.500 0.000
0.500 0.000 0.000
```

Energy relative to the elements, uncorrected   1.2459 eV/atom
Total DFT energy (no corrections)   -4.771 eV per atom

4.
Here is a relaxed TlTc2Se crystal from Alexandria. Energies are from PBEsol.

Geometry as POSCAR:
```
TlTc2Se
1.0
1.475 0.852 9.651
-1.475 0.852 9.651
0.000 -1.704 9.651
Tl Tc Se
1 2 1
direct
0.000 0.000 0.000
0.489 0.489 0.489
0.752 0.752 0.752
0.219 0.219 0.219
```

Energy above the most stable polymorph in this dataset   0.00 eV per formula unit
Energy relative to the elements, uncorrected   0.2673 eV/atom
Total DFT energy (no corrections)   -6.986 eV per atom

5.
Here is a relaxed TaTc2P crystal from Alexandria. Energies are from PBEsol.

Geometry as POSCAR:
```
TaTc2P
1.0
-1.465 2.195 4.379
1.465 -2.195 4.379
1.465 2.195 -4.379
Ta Tc P
1 2 1
direct
0.000 0.000 0.000
0.284 0.784 0.500
0.716 0.216 0.500
0.500 0.500 0.000
```

DFT formation energy   -8.629 kcal/mol of atoms
Total DFT energy (no corrections)   -10.593 eV per atom

6.
Here is a relaxed YSc2NbMo crystal from Alexandria. Energies are from PBEsol.

Geometry as POSCAR:
```
YSc2NbMo
1.0
5.080 0.000 0.000
0.000 5.080 0.000
0.000 0.000 4.719
Y Sc Nb Mo
1 2 1 1
direct
0.000 0.000 0.000
0.000 0.500 0.500
0.500 0.000 0.500
0.500 0.500 0.500
0.500 0.500 0.000
```

DFT formation energy   16.362 kcal/mol of atoms
Total DFT energy (no corrections)   -7.815 eV per atom

7.
Here is a relaxed Ho3Co crystal from Alexandria. Energies are from PBEsol.

Geometry as POSCAR:
```
Ho3Co
1.0
6.773 0.000 0.000
0.000 9.195 0.000
0.000 0.000 6.064
Ho Co
12 4
direct
0.042 0.250 0.140
0.175 0.067 0.676
0.175 0.433 0.676
0.325 0.567 0.176
0.325 0.933 0.176
0.458 0.750 0.640
0.542 0.250 0.360
0.675 0.067 0.824
0.675 0.433 0.824
0.825 0.567 0.324
0.825 0.933 0.324
0.958 0.750 0.860
0.113 0.750 0.450
0.387 0.250 0.950
0.613 0.750 0.050
0.887 0.250 0.550
```

DFT formation energy   -4.001 kcal/mol of atoms
Total DFT energy (no corrections)   -5.820 eV per atom

8.
Here is a relaxed Li5V2Ni5O12 crystal from Alexandria. Energies are from PBEsol.

Geometry as POSCAR:
```
Li5V2Ni5O12
1.0
2.448 -4.356 0.000
2.448 4.356 0.000
-1.817 0.000 9.428
Li V Ni O
5 2 5 12
direct
0.000 0.000 0.000
0.090 0.406 0.243
0.242 0.253 0.756
0.594 0.910 0.757
0.747 0.758 0.244
0.168 0.832 0.500
0.666 0.334 0.000
0.338 0.662 0.000
0.410 0.078 0.244
0.497 0.503 0.500
0.837 0.163 0.500
0.922 0.590 0.756
0.028 0.685 0.117
0.129 0.110 0.379
0.206 0.556 0.620
0.315 0.972 0.883
0.396 0.375 0.117
0.444 0.794 0.380
0.531 0.198 0.616
0.625 0.604 0.883
0.698 0.055 0.119
0.802 0.469 0.384
0.890 0.871 0.621
0.945 0.302 0.881
```

Energy relative to the elements, uncorrected   -1.5690 eV/atom
Total DFT energy (no corrections)   -6.689 eV per atom

Density list, top to bottom, in g/cm³: 6.9 10.4 5.3 10.9 12.0 5.0 9.7 5.1